Entry i
Compound: Tb2Ga2Pd
Source: the Alexandria database
Functional: PBE
Structure: optimized geometry

As for the calculated density: 8.56 g/cm3. The total magnetic moment is 0.000 μB/f.u.

It has space group C2/m (No. 12), with a = 10.636 Å, b = 4.364 Å, c = 10.600 Å, α = 90.00°, β = 117.28° and γ = 90.00°. The asymmetric unit holds Tb at (0.009, 0.000, 0.328), Tb at (0.188, 0.000, 0.116), Ga at (0.025, 0.500, 0.889), Ga at (0.141, 0.500, 0.557) and Pd at (0.225, 0.500, 0.343).

Entry ii
Compound: Tb2Ga2Pd
Source: the Alexandria database
Functional: PBE
Structure: optimized geometry

As for the calculated density: 8.39 g/cm3. The total magnetic moment is 0.000 μB/f.u.

It has space group Ibam (No. 72), with a = 6.220 Å, b = 12.384 Å, c = 5.796 Å, α = 90.00°, β = 90.00° and γ = 90.00°. The asymmetric unit holds Tb at (0.229, 0.169, 0.000), Ga at (0.168, 0.423, 0.000) and Pd at (0.000, 0.000, 0.250).

Most favorable first, least favorable last: entry i, entry ii

Entry i
Compound: TbGaPd4
Source: the Alexandria database
Functional: PBE
Structure: optimized geometry

As for the calculated density: 10.38 g/cm3. The total magnetic moment is 0.000 μB/f.u.

It has space group P-1 (No. 2), with a = 4.736 Å, b = 5.357 Å, c = 8.980 Å, α = 107.21°, β = 105.19° and γ = 90.01°. The asymmetric unit holds Tb at (0.250, 0.217, 0.000), Ga at (0.000, 0.500, 0.500), Ga at (0.500, 0.000, 0.500), Pd at (0.080, 0.985, 0.657), Pd at (0.156, 0.566, 0.810), Pd at (0.344, 0.757, 0.190) and Pd at (0.420, 0.329, 0.344).

Entry ii
Compound: TbGaPd4
Source: the Alexandria database
Functional: PBE
Structure: optimized geometry

As for the calculated density: 10.13 g/cm3. The total magnetic moment is 0.000 μB/f.u.

It has space group F-43m (No. 216), with a = 7.541 Å, b = 7.541 Å, c = 7.541 Å, α = 90.00°, β = 90.00° and γ = 90.00°. The asymmetric unit holds Tb at (0.000, 0.000, 0.000), Ga at (0.250, 0.250, 0.750) and Pd at (0.124, 0.124, 0.376).

Most favorable first, least favorable last: entry i, entry ii